# 1
The following is a DFT calculation (GGA-PBE) of Sr2CeAgPd6 after structural relaxation.

Properties
Magnetization   0.000 Bohr magnetons per cell
SG   Fm-3m, No. 225
Crystal system   cubic

```
Sr2CeAgPd6
1.0
7.146 0.000 0.000
0.000 7.146 0.000
3.573 3.573 5.053
Pd Sr Ce Ag
6 2 1 1
direct
0.746 0.746 0.508 Pd
0.254 0.254 0.000 Pd
0.254 0.254 0.492 Pd
0.746 0.746 0.000 Pd
0.254 0.746 0.000 Pd
0.746 0.254 0.000 Pd
0.750 0.250 0.500 Sr
0.250 0.750 0.500 Sr
0.500 0.500 0.000 Ce
0.000 0.000 0.000 Ag
```

# 2
The following is a DFT calculation (GGA-PBE) of TbCeAgPd after structural relaxation.

Properties
Magnetization   0.886 Bohr magnetons per cell
SG   F-43m, No. 216
Crystal system   cubic

```
TbCeAgPd
1.0
-4.666 1.742 1.206
-3.246 -2.974 2.622
-1.137 1.120 4.869
Pd Ce Ag Tb
1 1 1 1
direct
0.750 0.750 0.750 Pd
0.000 0.000 0.000 Ce
0.250 0.250 0.250 Ag
0.500 0.500 0.500 Tb
```

# 3
The following is a DFT calculation (GGA-PBE) of CeThAgPd after structural relaxation.

Properties
Magnetization   1.045 Bohr magnetons per cell
SG   F-43m, No. 216
Crystal system   cubic

```
CeThAgPd
1.0
-1.077 -4.330 2.627
3.048 -4.156 -0.498
3.038 -1.469 3.928
Ag Pd Ce Th
1 1 1 1
direct
0.250 0.250 0.250 Ag
0.750 0.750 0.750 Pd
0.500 0.500 0.500 Ce
0.000 0.000 0.000 Th
```

| no. | ΔE_f (kJ/mol of formula units) |
| --- | --- |
| 1 | -106 |
| 2 | -167 |
| 3 | -118 |